PBE-GGA BaTiN2F, optimized geometry; magnetic moment = 0.0725 μB/atom; energy relative to the elements, uncorrected = 0.941 eV/atom; ΔE to the lowest computed polymorph = 2485 meV per atom
1.0
4.6506 0.0000 0.0000
0.0000 4.6506 0.0000
0.0000 0.0000 4.6700
F Ba N Ti
1 1 2 1
Direct
0.0000 0.0000 0.5000
0.0000 0.0000 0.0000
0.0000 0.5000 0.0000
0.5000 0.0000 0.0000
0.5000 0.5000 0.5000